Compound: KLiP2Cl
Source: Alexandria
Functional: GGA-PBE
Structure: relaxed

```
data_KLiP2Cl
_chemical_formula_sum 'K1 Li1 P2 Cl1'
_space_group_name_H-M_alt 'P 4/m m m'
_space_group_IT_number 123
_space_group_name_Hall '-P 4 2'
_cell_length_a 6.162
_cell_length_b 6.162
_cell_length_c 5.726
_cell_angle_alpha 90.00
_cell_angle_beta 90.00
_cell_angle_gamma 90.00
loop_
_atom_site_label
_atom_site_fract_x
_atom_site_fract_y
_atom_site_fract_z
K1 0.000 0.000 0.000
Li1 0.500 0.500 0.500
P1 0.000 0.500 0.000
Cl1 0.000 0.000 0.500
```

---

Compound: K2Li3PaCl12
Source: Alexandria
Functional: GGA-PBE
Structure: relaxed

```
data_K2Li3PaCl12
_chemical_formula_sum 'K6 Li9 Pa3 Cl36'
_space_group_name_H-M_alt 'R -3 m'
_space_group_IT_number 166
_space_group_name_Hall '-R 3 2"'
_cell_length_a 7.7072
_cell_length_b 7.7072
_cell_length_c 35.0520
_cell_angle_alpha 90.00
_cell_angle_beta 90.00
_cell_angle_gamma 120.00
loop_
_atom_site_label
_atom_site_fract_x
_atom_site_fract_y
_atom_site_fract_z
K1 0.0000 0.0000 0.0887
Li1 0.0000 0.5000 0.0000
Pa1 0.0000 0.0000 0.5000
Cl1 0.0193 0.5097 0.1246
Cl2 0.0367 0.5184 0.3651
```

---

Compound: KLi2PaCl8
Source: Alexandria
Functional: GGA-PBE
Structure: relaxed

```
data_KLi2PaCl8
_chemical_formula_sum 'K1 Li2 Pa1 Cl8'
_space_group_name_H-M_alt 'P -1'
_space_group_IT_number 2
_space_group_name_Hall '-P 1'
_cell_length_a 6.373
_cell_length_b 6.376
_cell_length_c 9.314
_cell_angle_alpha 89.91
_cell_angle_beta 89.90
_cell_angle_gamma 79.39
loop_
_atom_site_label
_atom_site_fract_x
_atom_site_fract_y
_atom_site_fract_z
K1 0.000 0.000 0.000
Li1 0.500 0.500 0.158
Pa1 0.000 0.000 0.500
Cl1 0.224 0.781 0.700
Cl2 0.225 0.782 0.300
Cl3 0.251 0.260 0.500
Cl4 0.317 0.321 0.001
```

---

Compound: K2Li3PbCl8
Source: Alexandria
Functional: GGA-PBE
Structure: relaxed

```
data_K2Li3PbCl8
_chemical_formula_sum 'K6 Li9 Pb3 Cl24'
_space_group_name_H-M_alt 'R 3 m'
_space_group_IT_number 160
_space_group_name_Hall 'R 3 -2"'
_cell_length_a 7.9304
_cell_length_b 7.9304
_cell_length_c 22.8068
_cell_angle_alpha 90.00
_cell_angle_beta 90.00
_cell_angle_gamma 120.00
loop_
_atom_site_label
_atom_site_fract_x
_atom_site_fract_y
_atom_site_fract_z
K1 0.0000 0.0000 0.0000
K2 0.0000 0.0000 0.3552
Li1 0.1947 0.3894 0.8268
Pb1 0.0000 0.0000 0.5400
Cl1 0.0000 0.0000 0.2258
Cl2 0.0000 0.0000 0.6535
Cl3 0.0174 0.5087 0.7679
Cl4 0.1962 0.3923 0.5446
```

---

Compound: KLiPbCl6
Source: Alexandria
Functional: GGA-PBE
Structure: relaxed

```
data_KLiPbCl6
_chemical_formula_sum 'K1 Li1 Pb1 Cl6'
_space_group_name_H-M_alt 'P 3 1 2'
_space_group_IT_number 149
_space_group_name_Hall 'P 3 2'
_cell_length_a 6.7156
_cell_length_b 6.7156
_cell_length_c 6.9797
_cell_angle_alpha 90.00
_cell_angle_beta 90.00
_cell_angle_gamma 120.00
loop_
_atom_site_label
_atom_site_fract_x
_atom_site_fract_y
_atom_site_fract_z
K1 0.0000 0.0000 0.0000
Li1 0.3333 0.6667 0.5000
Pb1 0.6667 0.3333 0.5000
Cl1 0.3724 0.0017 0.7121
```

---

Compound: KLiPbCl4
Source: Alexandria
Functional: GGA-PBE
Structure: relaxed

```
data_KLiPbCl4
_chemical_formula_sum 'K2 Li2 Pb2 Cl8'
_space_group_name_H-M_alt 'P 1 21/m 1'
_space_group_IT_number 11
_space_group_name_Hall '-P 2yb'
_cell_length_a 6.902
_cell_length_b 7.114
_cell_length_c 8.622
_cell_angle_alpha 90.00
_cell_angle_beta 107.95
_cell_angle_gamma 90.00
loop_
_atom_site_label
_atom_site_fract_x
_atom_site_fract_y
_atom_site_fract_z
K1 0.241 0.250 0.438
Li1 0.260 0.750 0.184
Pb1 0.281 0.250 0.950
Cl1 0.048 0.750 0.916
Cl2 0.051 0.750 0.350
Cl3 0.496 0.501 0.228
```

---

Compound: KLiPm2Cl8
Source: Alexandria
Functional: GGA-PBE
Structure: relaxed

```
data_KLiPm2Cl8
_chemical_formula_sum 'K1 Li1 Pm2 Cl8'
_space_group_name_H-M_alt 'P 1 2/m 1'
_space_group_IT_number 10
_space_group_name_Hall '-P 2y'
_cell_length_a 6.685
_cell_length_b 8.523
_cell_length_c 6.704
_cell_angle_alpha 90.00
_cell_angle_beta 96.24
_cell_angle_gamma 90.00
loop_
_atom_site_label
_atom_site_fract_x
_atom_site_fract_y
_atom_site_fract_z
K1 0.000 0.000 0.000
Li1 0.000 0.500 0.000
Pm1 0.500 0.258 0.500
Cl1 0.203 0.286 0.200
Cl2 0.313 0.500 0.683
Cl3 0.324 0.000 0.672
```

---

Compound: KLi2PmCl6
Source: Alexandria
Functional: GGA-PBE
Structure: relaxed

```
data_KLi2PmCl6
_chemical_formula_sum 'K3 Li6 Pm3 Cl18'
_space_group_name_H-M_alt 'R 3'
_space_group_IT_number 146
_space_group_name_Hall 'R 3'
_cell_length_a 6.9406
_cell_length_b 6.9406
_cell_length_c 18.8490
_cell_angle_alpha 90.00
_cell_angle_beta 90.00
_cell_angle_gamma 120.00
loop_
_atom_site_label
_atom_site_fract_x
_atom_site_fract_y
_atom_site_fract_z
K1 0.0000 0.0000 0.0000
Li1 0.0000 0.0000 0.2154
Li2 0.0000 0.0000 0.7219
Pm1 0.0000 0.0000 0.5176
Cl1 0.0035 0.3572 0.4555
Cl2 0.0909 0.7480 0.2830
```

---

Compound: KLi2PrCl6
Source: Alexandria
Functional: GGA-PBE
Structure: relaxed

```
data_KLi2PrCl6
_chemical_formula_sum 'K3 Li6 Pr3 Cl18'
_space_group_name_H-M_alt 'R 3'
_space_group_IT_number 146
_space_group_name_Hall 'R 3'
_cell_length_a 6.9725
_cell_length_b 6.9725
_cell_length_c 18.7658
_cell_angle_alpha 90.00
_cell_angle_beta 90.00
_cell_angle_gamma 120.00
loop_
_atom_site_label
_atom_site_fract_x
_atom_site_fract_y
_atom_site_fract_z
K1 0.0000 0.0000 0.0000
Li1 0.0000 0.0000 0.2173
Li2 0.0000 0.0000 0.7224
Pr1 0.0000 0.0000 0.5173
Cl1 0.0019 0.3651 0.4580
Cl2 0.0929 0.7506 0.2863
```

---

Compound: K2LiPtCl6
Source: Alexandria
Functional: GGA-PBE
Structure: relaxed

```
data_K2LiPtCl6
_chemical_formula_sum 'K12 Li6 Pt6 Cl36'
_space_group_name_H-M_alt 'R -3 m'
_space_group_IT_number 166
_space_group_name_Hall '-R 3 2"'
_cell_length_a 7.0180
_cell_length_b 7.0180
_cell_length_c 36.1441
_cell_angle_alpha 90.00
_cell_angle_beta 90.00
_cell_angle_gamma 120.00
loop_
_atom_site_label
_atom_site_fract_x
_atom_site_fract_y
_atom_site_fract_z
K1 0.0000 0.0000 0.1213
K2 0.0000 0.0000 0.3014
Li1 0.0000 0.0000 0.4163
Pt1 0.0000 0.0000 0.0000
Pt2 0.0000 0.0000 0.5000
Cl1 0.0065 0.5032 0.7066
Cl2 0.0109 0.5055 0.1275
```

---

Values for DFT total energy, eV/atom, ordered as above
-2.4147; -3.7291; -4.2547; -3.3946; -3.1955; -3.5764; -4.3932; -4.0899; -4.0875; -3.3952